# 1
KNb2P PBE optimized geometry; formation enthalpy at 0 K = 0.71 eV/atom; volume = 215 Å³/cell
1.0
-2.415 2.415 9.198
2.415 -2.415 9.198
2.415 2.415 -9.198
K Nb P
2 4 2
Cartesian
0.000 0.000 0.000 K
0.000 2.415 4.599 K
1.207 2.163 -2.299 Nb
2.667 1.207 2.299 Nb
1.207 0.252 6.898 Nb
-0.252 1.207 11.497 Nb
2.415 0.000 4.599 P
0.000 0.000 9.198 P

# 2
ZrTiGaPd PBE optimized geometry; formation enthalpy at 0 K = -0.45 eV/atom; volume = 71 Å³/cell
1.0
0.000 3.289 3.289
3.289 0.000 3.289
3.289 3.289 0.000
Zr Ti Ga Pd
1 1 1 1
Cartesian
0.000 0.000 0.000 Zr
3.289 3.289 3.289 Ti
4.933 4.933 4.933 Ga
1.644 1.644 1.644 Pd

# 3
RbCd3Rh PBE optimized geometry; formation enthalpy at 0 K = 0.33 eV/atom; offset from the most stable computed form = 2.17 eV per formula unit; volume = 381 Å³/cell
1.0
4.531 0.000 0.000
-2.266 3.924 0.000
0.000 0.000 21.449
Rb Cd Rh
2 6 2
Cartesian
0.000 0.000 0.000 Rb
0.000 0.000 10.725 Rb
0.000 0.000 5.362 Cd
0.000 0.000 16.087 Cd
0.000 2.616 2.740 Cd
0.000 2.616 7.984 Cd
2.266 1.308 13.465 Cd
2.266 1.308 18.709 Cd
0.000 2.616 5.362 Rh
2.266 1.308 16.087 Rh

# 4
Zn2Mo PBE optimized geometry; formation enthalpy at 0 K = 0.36 eV/atom; volume = 90 Å³/cell
1.0
4.455 0.000 0.000
-2.228 3.858 0.000
0.000 0.000 5.219
Zn Mo
4 2
Cartesian
0.000 0.000 0.000 Zn
0.000 0.000 2.610 Zn
0.000 2.572 1.305 Zn
2.228 1.286 3.915 Zn
0.000 2.572 3.915 Mo
2.228 1.286 1.305 Mo

Which formula does entry 4 have?
Zn2Mo

Among the records above, which one has the highest formation enthalpy at 0 K?
KNb2P